No. 1
VASP calculation (GGA-PBE) on crystalline KGa2Mo2 at its relaxed geometry.

ρ   6440 kg/m³
E_form   281 meV per atom

a b c (Å): 8.4017 8.4017 2.7062
angles (deg): 90.00 90.00 90.00
Positions (direct):
K 0.0000 0.0000 0.0000
K 0.5000 0.5000 0.0000
Ga 0.1797 0.3203 0.0000
Ga 0.3203 0.8203 0.0000
Ga 0.6797 0.1797 0.0000
Ga 0.8203 0.6797 0.0000
Mo 0.1071 0.6071 0.5000
Mo 0.3929 0.1071 0.5000
Mo 0.6071 0.8929 0.5000
Mo 0.8929 0.3929 0.5000



No. 2
VASP calculation (GGA-PBE) on crystalline KNb2GaMo at its relaxed geometry.

ρ   5432 kg/m³
E_form   1574 meV per atom

a b c (Å): 4.9920 4.9920 4.7915
angles (deg): 90.00 90.00 90.00
Positions (direct):
K 0.0000 0.0000 0.0000
Nb 0.0000 0.5000 0.5000
Nb 0.5000 0.0000 0.5000
Ga 0.5000 0.5000 0.5000
Mo 0.5000 0.5000 0.0000